Density functional theory data (GGA-PBE) for a relaxed structure of Be3InRu.

Structure (POSCAR):
```
Be3InRu
1.0
4.245 0.000 0.000
0.000 4.245 0.000
0.000 0.000 4.245
Be In Ru
3 1 1
Direct
0.000 0.000 0.500
0.000 0.500 0.000
0.500 0.000 0.000
0.500 0.500 0.500
0.000 0.000 0.000
```

N(E_F) = 1.8 states/eV/f.u.
total DFT energy (no corrections) = -20.69 eV for the cell shown
V = 15.29 Å³ per atom
SG = Pm-3m (221)
M_tot = 0.0 μB/cell
theoretical density = 5.3 g/cm³
ΔH_f (0 K) = 0.500 eV/atom